VASP calculation (GGA-PBE) on an optimized crystal structure of LiNi3P2.

Calculated values
**D(E_F)**: 9.87 states/eV per cell
**Energy relative to the elements**: -0.579 eV/atom

Lattice parameters (Å, degrees): 3.559 7.645 8.828 106.19 90.00 103.46
Sites, in units of the cell vectors:
1 Li 0.156 0.311 0.703
2 Li 0.844 0.689 0.297
3 Li 0.000 0.000 0.000
4 Ni 0.039 0.078 0.324
5 Ni 0.961 0.922 0.676
6 Ni 0.217 0.434 0.394
7 Ni 0.783 0.566 0.606
8 Ni 0.618 0.235 0.198
9 Ni 0.382 0.765 0.802
10 Ni 0.500 0.000 0.500
11 Ni 0.318 0.637 0.036
12 Ni 0.682 0.363 0.964
13 P 0.196 0.392 0.133
14 P 0.804 0.608 0.867
15 P 0.457 0.915 0.215
16 P 0.543 0.085 0.785
17 P 0.362 0.724 0.540
18 P 0.638 0.276 0.460

---

VASP calculation (GGA-PBE) on an optimized crystal structure of K2HgMo.

Calculated values
**D(E_F)**: 2.36 states/eV per cell
**Energy relative to the elements**: 1.024 eV/atom

Lattice parameters (Å, degrees): 3.622 3.622 10.546 90.00 90.00 90.00
Site moments in Bohr magnetons follow the coordinates.
Sites, in units of the cell vectors:
1 Hg 0.500 0.500 0.750  0.00
2 K 0.000 0.000 0.996  0.01
3 K 0.000 0.000 0.504  0.01
4 Mo 0.500 0.500 0.250  3.48

---

VASP calculation (GGA-PBE) on an optimized crystal structure of Ca2BeSe.

Calculated values
**D(E_F)**: 1.79 states/eV per cell
**E above lowest polymorph**: 294.9 meV/atom
**Formation energy (no corrections)**: -0.2977 eV per atom

Lattice parameters (Å, degrees): 3.822 3.822 8.764 90.00 90.00 119.72
Sites, in units of the cell vectors:
1 Be 0.500 0.500 0.692
2 Ca 0.000 0.000 0.936
3 Ca 0.500 0.500 0.311
4 Se 0.000 0.000 0.561

---

VASP calculation (GGA-PBE) on an optimized crystal structure of Eu2HoPd.

Calculated values
**D(E_F)**: 12.44 states/eV per cell
**Energy relative to the elements**: -0.032 eV/atom
**E above lowest polymorph**: 222.7 meV/atom

Lattice parameters (Å, degrees): 3.723 3.723 11.021 80.27 80.27 60.00
Site moments in Bohr magnetons follow the coordinates.
Sites, in units of the cell vectors:
1 Eu 0.105 0.105 0.684  6.92
2 Eu 0.895 0.895 0.316  6.92
3 Ho 0.000 0.000 0.000  0.24
4 Pd 0.500 0.500 0.500  -0.07

---

VASP calculation (GGA-PBE) on an optimized crystal structure of Ce2PtAu2N2.

Calculated values
**D(E_F)**: 12.07 states/eV per cell
**Formation energy (no corrections)**: -0.0424 eV per atom

Lattice parameters (Å, degrees): 4.947 4.947 7.811 90.00 90.00 120.00
Site moments in Bohr magnetons follow the coordinates.
Sites, in units of the cell vectors:
1 Ce 0.667 0.333 0.337  -0.01
2 Ce 0.333 0.667 0.663  -0.01
3 Pt 0.000 0.000 0.000  0.32
4 Au 0.000 0.000 0.673  0.01
5 Au 0.000 0.000 0.327  0.01
6 N 0.667 0.333 0.592  0.01
7 N 0.333 0.667 0.408  0.01

---

VASP calculation (GGA-PBE) on an optimized crystal structure of V15Ru2W2.

Calculated values
**D(E_F)**: 27.08 states/eV per cell
**Energy relative to the elements**: 0.294 eV/atom

Lattice parameters (Å, degrees): 6.593 6.593 6.593 79.99 79.99 79.99
Sites, in units of the cell vectors:
1 V 0.500 0.000 0.000
2 V 0.000 0.000 0.500
3 V 0.000 0.500 0.000
4 V 0.000 0.313 0.687
5 V 0.313 0.687 0.000
6 V 0.687 0.000 0.313
7 V 0.687 0.313 0.000
8 V 0.313 0.000 0.687
9 V 0.000 0.687 0.313
10 V 0.831 0.353 0.353
11 V 0.353 0.353 0.831
12 V 0.353 0.831 0.353
13 V 0.169 0.647 0.647
14 V 0.647 0.647 0.169
15 V 0.647 0.169 0.647
16 Ru 0.693 0.693 0.693
17 Ru 0.307 0.307 0.307
18 W 0.902 0.902 0.902
19 W 0.098 0.098 0.098

---

VASP calculation (GGA-PBE) on an optimized crystal structure of La2Sc2Ga.

Calculated values
**D(E_F)**: 11.74 states/eV per cell
**Energy relative to the elements**: -0.126 eV/atom

Lattice parameters (Å, degrees): 7.482 7.482 5.019 90.00 90.00 90.00
Sites, in units of the cell vectors:
1 Sc 0.350 0.850 0.000
2 Sc 0.850 0.650 0.000
3 Sc 0.650 0.150 0.000
4 Sc 0.150 0.350 0.000
5 Ga 0.000 0.000 0.000
6 Ga 0.500 0.500 0.000
7 La 0.159 0.659 0.500
8 La 0.659 0.841 0.500
9 La 0.841 0.341 0.500
10 La 0.341 0.159 0.500

---

VASP calculation (GGA-PBE) on an optimized crystal structure of RbCl4.

Calculated values
**E above lowest polymorph**: 0.0 meV/atom
**Formation energy (no corrections)**: -0.7446 eV per atom

Lattice parameters (Å, degrees): 5.203 13.252 13.252 90.00 90.00 90.00
Sites, in units of the cell vectors:
1 Rb 0.000 0.141 0.641
2 Rb 0.000 0.641 0.859
3 Rb 0.000 0.359 0.141
4 Rb 0.000 0.859 0.359
5 Cl 0.500 0.893 0.607
6 Cl 0.500 0.607 0.107
7 Cl 0.500 0.393 0.893
8 Cl 0.500 0.107 0.393
9 Cl 0.500 0.985 0.268
10 Cl 0.500 0.268 0.015
11 Cl 0.500 0.732 0.985
12 Cl 0.500 0.015 0.732
13 Cl 0.500 0.515 0.768
14 Cl 0.500 0.485 0.232
15 Cl 0.500 0.768 0.485
16 Cl 0.500 0.232 0.515
17 Cl 0.191 0.000 0.000
18 Cl 0.809 0.500 0.500
19 Cl 0.809 0.000 0.000
20 Cl 0.191 0.500 0.500

---

VASP calculation (GGA-PBE) on an optimized crystal structure of Pm6Y8Zr.

Calculated values
**D(E_F)**: 22.29 states/eV per cell
**Energy relative to the elements**: 0.127 eV/atom

Lattice parameters (Å, degrees): 8.668 8.668 8.668 63.32 63.32 63.32
Sites, in units of the cell vectors:
1 Pm 0.894 0.456 0.777
2 Pm 0.223 0.106 0.544
3 Pm 0.544 0.223 0.106
4 Pm 0.456 0.777 0.894
5 Pm 0.777 0.894 0.456
6 Pm 0.106 0.544 0.223
7 Y 0.111 0.720 0.755
8 Y 0.245 0.889 0.280
9 Y 0.280 0.245 0.889
10 Y 0.577 0.577 0.577
11 Y 0.423 0.423 0.423
12 Y 0.720 0.755 0.111
13 Y 0.755 0.111 0.720
14 Y 0.889 0.280 0.245
15 Zr 0.000 0.000 0.000

---

VASP calculation (GGA-PBE) on an optimized crystal structure of BaY.

Calculated values
**D(E_F)**: 7.46 states/eV per cell
**Energy relative to the elements**: 0.280 eV/atom
**E above lowest polymorph**: 120.5 meV/atom

Lattice parameters (Å, degrees): 6.254 3.866 8.123 62.17 90.00 90.00
Site moments in Bohr magnetons follow the coordinates.
Sites, in units of the cell vectors:
1 Ba 0.750 0.171 0.335  0.04
2 Ba 0.250 0.829 0.665  0.04
3 Y 0.750 0.134 0.867  0.17
4 Y 0.250 0.866 0.133  0.17

---

VASP calculation (GGA-PBE) on an optimized crystal structure of TbY3Ni8B8C4.

Calculated values
**D(E_F)**: 11.13 states/eV per cell
**Energy relative to the elements**: -0.510 eV/atom

Lattice parameters (Å, degrees): 3.551 3.551 20.749 90.00 90.00 90.00
Sites, in units of the cell vectors:
1 Tb 0.500 0.500 0.000
2 Y 0.000 0.000 0.250
3 Y 0.500 0.500 0.500
4 Y 0.000 0.000 0.750
5 Ni 0.000 0.500 0.125
6 Ni 0.500 0.000 0.375
7 Ni 0.000 0.500 0.625
8 Ni 0.500 0.000 0.875
9 Ni 0.500 0.000 0.125
10 Ni 0.000 0.500 0.375
11 Ni 0.500 0.000 0.625
12 Ni 0.000 0.500 0.875
13 B 0.500 0.500 0.178
14 B 0.000 0.000 0.428
15 B 0.500 0.500 0.678
16 B 0.000 0.000 0.928
17 B 0.000 0.000 0.072
18 B 0.500 0.500 0.322
19 B 0.000 0.000 0.572
20 B 0.500 0.500 0.822
21 C 0.000 0.000 0.000
22 C 0.500 0.500 0.250
23 C 0.000 0.000 0.500
24 C 0.500 0.500 0.750

---

VASP calculation (GGA-PBE) on an optimized crystal structure of Be2Nb2In.

Calculated values
**D(E_F)**: 4.18 states/eV per cell
**Energy relative to the elements**: 0.597 eV/atom
**E above lowest polymorph**: 760.1 meV/atom

Lattice parameters (Å, degrees): 3.732 3.732 6.610 73.60 73.60 90.00
Sites, in units of the cell vectors:
1 Be 0.750 0.250 0.500
2 Be 0.250 0.750 0.500
3 Nb 0.395 0.395 0.210
4 Nb 0.605 0.605 0.790
5 In 0.000 0.000 0.000

---

VASP calculation (GGA-PBE) on an optimized crystal structure of MgZn4Pt.

Calculated values
**D(E_F)**: 0.43 states/eV per cell
**Energy relative to the elements**: -0.315 eV/atom
**E above lowest polymorph**: 0.0 meV/atom

Lattice parameters (Å, degrees): 5.011 5.011 5.011 60.00 60.00 60.00
Sites, in units of the cell vectors:
1 Mg 0.250 0.250 0.250
2 Pt 0.000 0.000 0.000
3 Zn 0.124 0.625 0.625
4 Zn 0.625 0.625 0.625
5 Zn 0.625 0.124 0.625
6 Zn 0.625 0.625 0.124

---

VASP calculation (GGA-PBE) on an optimized crystal structure of TcRu2Rh.

Calculated values
**D(E_F)**: 3.53 states/eV per cell
**Energy relative to the elements**: 0.024 eV/atom
**E above lowest polymorph**: 99.3 meV/atom

Lattice parameters (Å, degrees): 4.667 4.667 4.667 131.10 131.09 71.66
Sites, in units of the cell vectors:
1 Rh 0.250 0.750 0.500
2 Ru 0.000 0.000 0.000
3 Ru 0.500 0.500 0.000
4 Tc 0.750 0.250 0.500

---

VASP calculation (GGA-PBE) on an optimized crystal structure of Na3MgRu.

Calculated values
**D(E_F)**: 4.74 states/eV per cell
**Energy relative to the elements**: 1.296 eV/atom
**E above lowest polymorph**: 290.3 meV/atom

Lattice parameters (Å, degrees): 5.584 5.584 5.584 90.00 90.00 90.00
Site moments in Bohr magnetons follow the coordinates.
Sites, in units of the cell vectors:
1 Ru 0.500 0.500 0.500  2.25
2 Mg 0.000 0.000 0.000  -0.01
3 Na 0.000 0.500 0.000  -0.01
4 Na 0.000 0.000 0.500  -0.01
5 Na 0.500 0.000 0.000  -0.02

---

VASP calculation (GGA-PBE) on an optimized crystal structure of Ce5Th4Ag.

Calculated values
**D(E_F)**: 22.51 states/eV per cell
**Energy relative to the elements**: -0.003 eV/atom

Lattice parameters (Å, degrees): 3.487 3.487 23.561 90.00 90.00 90.00
Site moments in Bohr magnetons follow the coordinates.
Sites, in units of the cell vectors:
1 Ce 0.500 0.500 0.089  0.41
2 Ce 0.500 0.500 0.294  -0.01
3 Ce 0.500 0.500 0.500  -0.01
4 Ce 0.500 0.500 0.706  -0.01
5 Ce 0.500 0.500 0.911  0.41
6 Th 0.000 0.000 0.192  0.00
7 Th 0.000 0.000 0.397  0.00
8 Th 0.000 0.000 0.603  0.00
9 Th 0.000 0.000 0.808  0.00
10 Ag 0.000 0.000 0.000  0.00

---

VASP calculation (GGA-PBE) on an optimized crystal structure of SrSn2PdAu.

Calculated values
**D(E_F)**: 2.07 states/eV per cell
**Energy relative to the elements**: -0.596 eV/atom
**E above lowest polymorph**: 0.0 meV/atom

Lattice parameters (Å, degrees): 4.785 4.785 6.473 111.69 111.69 90.00
Sites, in units of the cell vectors:
1 Sr 0.000 0.000 0.000
2 Sn 0.631 0.631 0.263
3 Sn 0.369 0.369 0.737
4 Pd 0.750 0.250 0.500
5 Au 0.250 0.750 0.500

---

VASP calculation (GGA-PBE) on an optimized crystal structure of Y7Er2Cd2.

Calculated values
**D(E_F)**: 13.35 states/eV per cell
**Energy relative to the elements**: -0.068 eV/atom

Lattice parameters (Å, degrees): 8.446 6.504 6.504 97.72 77.20 77.20
Sites, in units of the cell vectors:
1 Y 0.173 0.126 0.482
2 Y 0.827 0.518 0.874
3 Y 0.827 0.874 0.518
4 Y 0.173 0.482 0.126
5 Y 0.000 0.000 0.000
6 Y 0.418 0.858 0.858
7 Y 0.582 0.142 0.142
8 Er 0.500 0.317 0.683
9 Er 0.500 0.683 0.317
10 Cd 0.823 0.381 0.381
11 Cd 0.177 0.619 0.619

---

VASP calculation (GGA-PBE) on an optimized crystal structure of Cs4Ac3TiTe8.

Calculated values
**D(E_F)**: 6.16 states/eV per cell
**Formation energy (no corrections)**: -1.2740 eV per atom

Lattice parameters (Å, degrees): 9.520 10.502 9.520 116.96 120.00 90.00
Site moments in Bohr magnetons follow the coordinates.
Sites, in units of the cell vectors:
1 Cs 0.500 0.000 0.000  0.00
2 Cs 0.500 0.000 0.500  0.00
3 Cs 0.000 0.000 0.000  0.00
4 Cs 0.000 0.000 0.500  0.00
5 Ac 0.500 0.500 0.000  0.00
6 Ac 0.500 0.500 0.500  0.00
7 Ac 0.000 0.500 0.500  0.00
8 Ti 0.000 0.500 0.000  0.95
9 Te 0.213 0.689 0.976  -0.02
10 Te 0.213 0.689 0.426  -0.02
11 Te 0.264 0.293 0.528  0.00
12 Te 0.763 0.689 0.976  -0.02
13 Te 0.237 0.311 0.024  -0.02
14 Te 0.736 0.707 0.472  0.00
15 Te 0.787 0.311 0.574  -0.02
16 Te 0.787 0.311 0.024  -0.02

---

VASP calculation (GGA-PBE) on an optimized crystal structure of KCoNi2.

Calculated values
**D(E_F)**: 4.99 states/eV per cell
**Energy relative to the elements**: 0.717 eV/atom
**E above lowest polymorph**: 189.0 meV/atom

Lattice parameters (Å, degrees): 9.482 9.482 9.482 16.28 16.28 16.28
Site moments in Bohr magnetons follow the coordinates.
Sites, in units of the cell vectors:
1 Co 0.250 0.250 0.250  1.78
2 K 0.750 0.750 0.750  -0.03
3 Ni 0.985 0.985 0.985  0.49
4 Ni 0.515 0.515 0.515  0.49

---

Record-wise E values, in eV/atom: -5.5919 -2.3078 -3.1011 -7.6117 -5.9158 -9.2445 -5.2350 -2.4154 -5.7906 -3.9139 -7.2007 -5.4687 -2.4366 -9.0433 -1.6700 -6.2233 -4.2280 -5.1775 -4.3220 -4.2243